Model a:
Compound: BaCa2I6
Source: the Alexandria database
Functional: SCAN
Structure: single point on PBEsol structure

As for the calculated volume: 1574.0 Å³/cell.

The space group is Pbcn (No. 60) and the conventional cell measures 7.2312, 26.9994 and 8.0622 Å, with angles of 90.00, 90.00 and 90.00 degrees. The distinct sites, in fractional coordinates, are Ba at (0.0000, 0.1183, 0.2500), Ca at (0.0000, 0.2147, 0.7500), Ca at (0.0000, 0.4525, 0.2500), I at (0.2393, 0.4695, 0.5616), I at (0.2441, 0.2915, 0.5619) and I at (0.2471, 0.3682, 0.1032).

---

Model b:
Compound: BaCa2I6
Source: the Alexandria database
Functional: SCAN
Structure: single point on PBEsol structure

As for the calculated volume: 1496.5 Å³/cell.

The space group is C2/c (No. 15) and the conventional cell measures 23.9036, 7.6519 and 8.1820 Å, with angles of 90.00, 90.61 and 90.00 degrees. The distinct sites, in fractional coordinates, are Ba at (0.0000, 0.2244, 0.2500), Ca at (0.1711, 0.2304, 0.6717), I at (0.0666, 0.4225, 0.5902), I at (0.1026, 0.0540, 0.9556) and I at (0.2237, 0.4834, 0.4026).

---

Computed energies relative to the best structure, in eV/atom: model a 0.000; model b 0.022

---

Model a:
Compound: Ba2CaIn
Source: the Alexandria database
Functional: SCAN
Structure: single point on PBEsol structure

As for the calculated volume: 320.5 Å³/cell.

The space group is I4/mmm (No. 139) and the conventional cell measures 6.0659, 6.0659 and 8.7113 Å, with angles of 90.00, 90.00 and 90.00 degrees. The distinct sites, in fractional coordinates, are Ba at (0.0000, 0.5000, 0.2500), Ca at (0.0000, 0.0000, 0.0000) and In at (0.0000, 0.0000, 0.5000).

---

Model b:
Compound: Ba2CaIn
Source: the Alexandria database
Functional: SCAN
Structure: single point on PBEsol structure

As for the calculated volume: 170.1 Å³/cell.

The space group is P4mm (No. 99) and the conventional cell measures 4.0553, 4.0553 and 10.3426 Å, with angles of 90.00, 90.00 and 90.00 degrees. The distinct sites, in fractional coordinates, are Ba at (0.0000, 0.0000, 0.0000), Ba at (0.5000, 0.5000, 0.3453), Ca at (0.0000, 0.0000, 0.6350) and In at (0.5000, 0.5000, 0.7869).

---

Model c:
Compound: Ba2CaIn
Source: the Alexandria database
Functional: SCAN
Structure: single point on PBEsol structure

As for the calculated volume: 336.1 Å³/cell.

The space group is Imm2 (No. 44) and the conventional cell measures 4.1119, 6.2442 and 13.0919 Å, with angles of 90.00, 90.00 and 90.00 degrees. The distinct sites, in fractional coordinates, are Ba at (0.0000, 0.0000, 0.0000), Ba at (0.0000, 0.5000, 0.1978), Ca at (0.0000, 0.5000, 0.7929) and In at (0.0000, 0.0000, 0.4791).

---

Computed energies relative to the best structure, in eV/atom: model a 0.083; model b 0.008; model c 0.000

---

Model a:
Compound: Ba2CaIn
Source: the Alexandria database
Functional: SCAN
Structure: single point on PBEsol structure

As for the calculated volume: 161.2 Å³/cell.

The space group is P4/mmm (No. 123) and the conventional cell measures 5.9090, 5.9090 and 4.6155 Å, with angles of 90.00, 90.00 and 90.00 degrees. The distinct sites, in fractional coordinates, are Ba at (0.0000, 0.5000, 0.0000), Ca at (0.0000, 0.0000, 0.5000) and In at (0.5000, 0.5000, 0.5000).

---

Model b:
Compound: Ba2CaIn
Source: the Alexandria database
Functional: SCAN
Structure: single point on PBEsol structure

As for the calculated volume: 332.4 Å³/cell.

The space group is Amm2 (No. 38) and the conventional cell measures 5.6003, 4.1017 and 14.4701 Å, with angles of 90.00, 90.00 and 90.00 degrees. The distinct sites, in fractional coordinates, are Ba at (0.0000, 0.0000, 0.0000), Ba at (0.5000, 0.0000, 0.3309), Ca at (0.5000, 0.0000, 0.6149) and In at (0.0000, 0.0000, 0.7295).

---

Computed energies relative to the best structure, in eV/atom: model a 0.000; model b 0.040